1.
This record from Alexandria describes a relaxed structure of Rb3Ce2CrSe6. The functional is PBE.

Summary:
raw formation energy = -1.3339 eV per atom
symmetry = C2/m (12)

The structure in extended XYZ format:
```
12
Lattice="3.675 -6.342 0.000 3.675 6.342 0.000 -2.472 0.000 7.955" Properties=species:S:1:pos:R:3 pbc="T T T"
Rb 0.000 0.000 0.000
Rb 3.675 2.153 0.000
Rb 3.675 -2.153 0.000
Ce 2.438 4.237 3.978
Ce 2.438 -4.237 3.978
Cr 2.438 0.000 3.978
Se 1.300 1.974 2.471
Se 0.116 0.000 5.519
Se 1.300 -1.974 2.471
Se 3.577 1.974 5.485
Se 4.761 0.000 2.437
Se 3.577 -1.974 5.485
```

---

2.
This record from Alexandria describes a relaxed structure of Tb14HoMg. The functional is PBE.

Summary:
ΔH_f (0 K) = 26 kJ/mol of formula units
symmetry = Amm2 (38)

The structure in extended XYZ format:
```
16
Lattice="10.009 0.000 0.000 0.000 5.004 5.004 0.000 -5.004 5.004" Properties=species:S:1:pos:R:3 pbc="T T T"
Tb 0.000 0.000 0.000
Tb 0.000 2.501 7.506
Tb 0.000 -2.501 7.506
Tb 0.000 0.000 5.005
Tb 2.516 0.000 2.512
Tb 2.517 -2.493 5.004
Tb 2.517 2.493 5.004
Tb 2.519 0.000 7.496
Tb 5.005 -2.499 2.501
Tb 5.005 2.499 2.501
Tb 7.492 -2.493 5.004
Tb 7.492 2.493 5.004
Tb 7.490 0.000 7.496
Tb 7.494 0.000 2.512
Ho 5.005 0.000 5.004
Mg 5.005 0.000 10.001
```

---

3.
This record from Alexandria describes a relaxed structure of ZrCuTe2. The functional is PBE.

Summary:
raw formation energy = -0.5752 eV per atom
symmetry = C2/m (12)

The structure in extended XYZ format:
```
8
Lattice="7.472 -2.018 0.000 7.472 2.018 0.000 -1.263 0.000 6.816" Properties=species:S:1:pos:R:3 pbc="T T T"
Zr 3.430 0.000 1.583
Zr 10.251 0.000 5.233
Cu 0.556 0.000 1.197
Cu 13.125 0.000 5.619
Te 0.749 0.000 5.810
Te 4.760 0.000 4.235
Te 8.920 0.000 2.582
Te 12.932 0.000 1.007
```

---

4.
This record from Alexandria describes a relaxed structure of RbSnSeBr. The functional is PBE.

Summary:
raw formation energy = -0.8817 eV per atom
symmetry = Cm (8)

The structure in extended XYZ format:
```
4
Lattice="3.942 -2.267 0.000 3.942 2.267 0.000 -2.591 0.000 9.060" Properties=species:S:1:pos:R:3 pbc="T T T"
Rb 0.000 0.000 0.000
Sn 0.014 0.000 4.004
Se 5.269 0.000 2.679
Br 0.031 0.000 7.074
```

---

5.
This record from Alexandria describes a relaxed structure of CeGa3Pt. The functional is PBE.

Summary:
ΔH_f (0 K) = -371 kJ/mol of formula units
distance to the lowest polymorph of the same formula = 0.00 kcal/mol of atoms
symmetry = I4mm (107)

The structure in extended XYZ format:
```
5
Lattice="-2.154 2.154 5.301 2.154 -2.154 5.301 2.154 2.154 -5.301" Properties=species:S:1:pos:R:3 pbc="T T T"
Ce 0.000 0.000 0.000
Ga 2.154 0.000 2.501
Ga 0.000 0.000 6.224
Ga 0.000 2.154 2.501
Pt 0.000 0.000 3.789
```

---

6.
This record from Alexandria describes a relaxed structure of Sr2SO. The functional is PBE.

Summary:
raw formation energy = -2.2471 eV per atom
distance to the lowest polymorph of the same formula = 2.12 kcal/mol of atoms
symmetry = Pnma (62)

The structure in extended XYZ format:
```
16
Lattice="6.951 0.000 0.000 0.000 3.625 0.000 0.000 0.000 14.365" Properties=species:S:1:pos:R:3 pbc="T T T"
Sr 1.036 0.906 2.796
Sr 1.580 2.719 13.833
Sr 1.896 0.906 6.651
Sr 2.440 2.719 9.978
Sr 4.511 0.906 4.387
Sr 5.055 2.719 7.714
Sr 5.371 0.906 0.531
Sr 5.915 2.719 11.569
S 0.082 0.906 9.271
S 3.393 2.719 2.088
S 3.558 0.906 12.276
S 6.869 2.719 5.094
O 0.028 0.906 12.983
O 3.447 2.719 5.801
O 3.504 0.906 8.564
O 6.923 2.719 1.381
```

---

7.
This record from Alexandria describes a relaxed structure of Tm6Te3P2C. The functional is PBE.

Summary:
raw formation energy = -1.3013 eV per atom
symmetry = C2/m (12)

The structure in extended XYZ format:
```
12
Lattice="3.451 -5.974 0.000 3.451 5.974 0.000 -2.293 0.000 6.897" Properties=species:S:1:pos:R:3 pbc="T T T"
Tm 1.063 1.839 1.369
Tm -0.168 0.000 5.487
Tm 1.063 -1.839 1.369
Tm 3.546 1.839 5.528
Tm 4.777 0.000 1.410
Tm 3.546 -1.839 5.528
Te 2.305 3.899 3.449
Te 2.305 0.000 3.449
Te 2.305 -3.899 3.449
P 3.451 1.981 0.000
P 3.451 -1.981 0.000
C 0.000 0.000 0.000
```

---

8.
This record from Alexandria describes a relaxed structure of Tl2CoCu. The functional is PBE.

Summary:
ΔH_f (0 K) = 198 kJ/mol of formula units
distance to the lowest polymorph of the same formula = 2.42 kcal/mol of atoms
symmetry = P2/m (10)

The structure in extended XYZ format:
```
4
Lattice="3.295 0.000 0.000 0.000 3.304 0.000 -0.060 0.000 6.619" Properties=species:S:1:pos:R:3 pbc="T T T"
Tl -0.011 0.000 1.595
Tl 3.245 0.000 5.024
Co 1.647 1.652 0.000
Cu 1.617 1.652 3.309
```

---

9.
This record from Alexandria describes a relaxed structure of TbTlRu2O8. The functional is PBE.

Summary:
raw formation energy = -1.3206 eV per atom
symmetry = P-3 (147)

The structure in extended XYZ format:
```
12
Lattice="6.002 0.000 0.000 -3.001 5.198 0.000 0.000 0.000 7.801" Properties=species:S:1:pos:R:3 pbc="T T T"
Tb 0.000 0.000 0.000
Tl 0.000 0.000 3.900
Ru 0.000 3.466 2.018
Ru 3.001 1.733 5.783
O -0.012 1.763 1.415
O -1.468 4.327 1.415
O 0.000 3.466 3.767
O 1.521 0.892 6.386
O 1.480 4.306 1.415
O 3.001 1.733 4.033
O 4.469 0.871 6.386
O 3.014 3.435 6.386
```

---

10.
This record from Alexandria describes a relaxed structure of CaMnCu4. The functional is PBE.

Summary:
ΔH_f (0 K) = 27 kJ/mol of formula units
symmetry = F-43m (216)

The structure in extended XYZ format:
```
6
Lattice="0.000 3.580 3.580 3.580 0.000 3.580 3.580 3.580 0.000" Properties=species:S:1:pos:R:3 pbc="T T T"
Ca 0.000 0.000 0.000
Mn 5.371 5.371 5.371
Cu 2.692 2.692 2.692
Cu 4.469 4.469 2.692
Cu 4.469 2.692 4.469
Cu 2.692 4.469 4.469
```

---

11.
This record from Alexandria describes a relaxed structure of Hf6ReRh5. The functional is PBE.

Summary:
ΔH_f (0 K) = -951 kJ/mol of formula units
symmetry = Immm (71)

The structure in extended XYZ format:
```
12
Lattice="-2.314 3.265 6.940 2.314 -3.265 6.940 2.314 3.265 -6.940" Properties=species:S:1:pos:R:3 pbc="T T T"
Hf 2.314 1.631 -2.296
Hf 0.000 1.625 0.000
Hf 2.314 1.631 2.296
Hf 0.000 1.634 4.644
Hf 0.000 4.904 0.000
Hf 0.000 1.634 9.236
Re 2.314 0.000 0.000
Rh 0.000 0.000 2.304
Rh 2.314 0.000 4.567
Rh 0.000 0.000 6.940
Rh 0.000 3.265 2.373
Rh 0.000 0.000 11.576
```

---

12.
This record from Alexandria describes a relaxed structure of Pm2GdGa. The functional is PBE.

Summary:
ΔH_f (0 K) = -45 kJ/mol of formula units
distance to the lowest polymorph of the same formula = 3.10 kcal/mol of atoms
symmetry = Fm-3m (225)

The structure in extended XYZ format:
```
4
Lattice="0.000 3.828 3.828 3.828 0.000 3.828 3.828 3.828 0.000" Properties=species:S:1:pos:R:3 pbc="T T T"
Pm 1.914 1.914 1.914
Pm 5.742 5.742 5.742
Gd 0.000 0.000 0.000
Ga 3.828 3.828 3.828
```

---

What did we get for E? Answer: -5.109; -4.420; -5.307; -3.414; -4.980; -5.359; -5.993; -3.470; -6.755; -4.547; -9.898; -6.770 eV/atom, in the order shown.